Record 1
# ScOsIN2

ScOsIN2 after structural relaxation (GGA-PBE, Alexandria).

```
ScOsIN2
1.0
-2.2159 -2.7354 1.7253
3.1990 -2.1611 0.6821
0.6869 2.5928 4.9929
I Sc Os N
1 1 1 2
direct
0.0000 0.0000 0.5000 I
0.5000 0.5000 0.5000 Sc
0.0000 0.0000 0.0000 Os
0.0000 0.5000 0.0000 N
0.5000 0.0000 0.0000 N
```

Results
ΔE to the lowest computed polymorph: 0.000 eV/atom
space group: P4/mmm, No. 123
N(E_F): 0.67 states/eV/atom

***

Record 2
# Li2SmMg2Ag2

Li2SmMg2Ag2 after structural relaxation (GGA-PBE, Alexandria).

```
Li2SmMg2Ag2
1.0
4.8208 0.0000 0.0000
-2.4104 4.1660 -0.4182
0.0000 -2.1274 7.6512
Li Sm Mg Ag
2 1 2 2
direct
0.1496 0.2992 0.4440 Li
0.8504 0.7008 0.5560 Li
0.0000 0.0000 0.0000 Sm
0.5739 0.1478 0.7266 Mg
0.4261 0.8522 0.2734 Mg
0.7356 0.4713 0.2038 Ag
0.2644 0.5287 0.7962 Ag
```

Results
space group: C2/m, No. 12
DFT total energy: -2.680 eV/atom
N(E_F): 0.55 states/eV/atom

***

Record 3
# LaTbSm5

LaTbSm5 after structural relaxation (GGA-PBE, Alexandria).

```
LaTbSm5
1.0
5.8387 0.0000 0.0000
2.9194 7.4112 0.4650
2.9194 1.7827 7.2086
La Tb Sm
1 1 5
direct
0.0000 0.0000 0.0000 La
0.5000 0.5000 0.5000 Tb
0.5000 0.1806 0.8194 Sm
0.5000 0.8194 0.1806 Sm
0.7502 0.2498 0.2498 Sm
0.2498 0.7502 0.7502 Sm
0.0000 0.5000 0.5000 Sm
```

Results
ΔE to the lowest computed polymorph: 0.829 eV/atom
space group: Immm, No. 71
N(E_F): 1.64 states/eV/atom